DFT (PBE-GGA) results for Mn2SiTc after structural relaxation.

Values from the calculation:
formation energy (no corrections): -231 meV/atom

a b c (Å): 4.793 4.793 4.793
angles (deg): 144.94 130.47 62.13
Element x y z (fractional)
Mn  0.240  0.240  0.000
Mn  0.760  0.760  0.000
Si  0.000  0.500  0.500
Tc  0.500  0.000  0.500

DFT (PBE-GGA) results for Mn2SiTc after structural relaxation.

Values from the calculation:
formation energy (no corrections): -311 meV/atom

a b c (Å): 4.127 4.127 4.127
angles (deg): 119.95 119.95 90.09
Element x y z (fractional)
Mn  0.000  0.000  0.000
Mn  0.750  0.250  0.500
Si  0.250  0.750  0.500
Tc  0.500  0.500  0.000

DFT (PBE-GGA) results for ThMnSi3Tc after structural relaxation.

Values from the calculation:
formation energy (no corrections): -299 meV/atom

a b c (Å): 6.434 6.434 5.697
angles (deg): 90.00 90.00 111.06
Element x y z (fractional)
Th  0.241  0.759  0.750
Th  0.759  0.241  0.250
Mn  0.038  0.962  0.250
Mn  0.962  0.038  0.750
Si  0.239  0.761  0.250
Si  0.241  0.241  0.000
Si  0.241  0.241  0.500
Si  0.759  0.759  0.000
Si  0.759  0.759  0.500
Si  0.761  0.239  0.750
Tc  0.452  0.548  0.250
Tc  0.548  0.452  0.750

DFT (PBE-GGA) results for ThMnSi2Tc after structural relaxation.

Values from the calculation:
formation energy (no corrections): -663 meV/atom

a b c (Å): 5.942 5.942 5.942
angles (deg): 139.59 139.59 58.47
Element x y z (fractional)
Th  0.000  0.000  0.000
Mn  0.250  0.750  0.500
Si  0.377  0.377  0.000
Si  0.623  0.623  0.000
Tc  0.750  0.250  0.500

DFT (PBE-GGA) results for TiMnSiTc after structural relaxation.

Values from the calculation:
formation energy (no corrections): -513 meV/atom

a b c (Å): 4.218 4.218 4.218
angles (deg): 60.00 60.00 60.00
Element x y z (fractional)
Ti  0.000  0.000  0.000
Mn  0.250  0.250  0.250
Si  0.500  0.500  0.500
Tc  0.750  0.750  0.750

DFT (PBE-GGA) results for TmMnSi3Tc after structural relaxation.

Values from the calculation:
formation energy (no corrections): -252 meV/atom

a b c (Å): 6.470 6.470 5.426
angles (deg): 90.00 90.00 108.66
Element x y z (fractional)
Tm  0.244  0.756  0.750
Tm  0.756  0.244  0.250
Mn  0.037  0.963  0.250
Mn  0.963  0.037  0.750
Si  0.238  0.762  0.250
Si  0.241  0.241  0.000
Si  0.241  0.241  0.500
Si  0.759  0.759  0.000
Si  0.759  0.759  0.500
Si  0.762  0.238  0.750
Tc  0.451  0.549  0.250
Tc  0.549  0.451  0.750